No. 1
A geometry-optimized Sc6Zn3Os structure. Source: Alexandria via LeMat-Bulk, functional PBE.

Lattice parameters (Å, degrees): 4.750 8.277 10.451 108.75 90.00 90.00
Atoms (fractional coordinates):
Sc: 0.250 0.231 0.496
Sc: 0.250 0.126 0.164
Sc: 0.750 0.152 0.675
Zn: 0.250 0.771 0.970
Sc: 0.750 0.874 0.836
Sc: 0.750 0.331 0.331
Sc: 0.250 0.472 0.091
Sc: 0.250 0.113 0.866
Zn: 0.250 0.401 0.780
Sc: 0.250 0.848 0.325
Sc: 0.750 0.528 0.909
Sc: 0.250 0.669 0.669
Zn: 0.750 0.229 0.030
Zn: 0.250 0.522 0.371
Os: 0.250 0.958 0.600
Zn: 0.750 0.599 0.220
Zn: 0.750 0.478 0.629
Os: 0.750 0.042 0.400
Sc: 0.750 0.769 0.504
Sc: 0.750 0.887 0.134

* energy of formation from the pure elements: -0.330 eV per atom
* total moment: 0.00 μB per cell
* space-group type: P2_1/m, No. 11
* calculated density: 5.60 g cm⁻³
* crystal system: monoclinic

---

No. 2
A geometry-optimized NaTa2Ni2 structure. Source: Alexandria via LeMat-Bulk, functional PBE.

Lattice parameters (Å, degrees): 7.716 7.716 2.712 90.00 90.00 90.00
Atoms (fractional coordinates):
Ni: 0.364 0.864 0.000
Ta: 0.655 0.845 0.500
Na: 0.000 0.000 0.000
Ta: 0.155 0.655 0.500
Ni: 0.636 0.136 0.000
Ni: 0.136 0.364 0.000
Ni: 0.864 0.636 0.000
Ta: 0.845 0.345 0.500
Ta: 0.345 0.155 0.500
Na: 0.500 0.500 0.000

* energy of formation from the pure elements: 0.168 eV per atom
* total moment: 0.00 μB per cell
* space-group type: P4/mbm, No. 127
* calculated density: 10.33 g cm⁻³
* crystal system: tetragonal

---

No. 3
A geometry-optimized Na3Tl12Cd structure. Source: Alexandria via LeMat-Bulk, functional PBE.

Lattice parameters (Å, degrees): 4.967 4.967 18.782 90.00 90.00 90.00
Atoms (fractional coordinates):
Na: 0.000 0.000 0.749
Tl: 0.500 0.500 0.750
Tl: 0.500 0.000 0.877
Tl: 0.500 0.500 0.250
Tl: 0.500 0.500 0.000
Tl: 0.000 0.500 0.123
Cd: 0.000 0.000 0.000
Tl: 0.500 0.000 0.625
Tl: 0.000 0.500 0.625
Na: 0.000 0.000 0.251
Na: 0.000 0.000 0.500
Tl: 0.500 0.000 0.375
Tl: 0.000 0.500 0.877
Tl: 0.500 0.000 0.123
Tl: 0.500 0.500 0.500
Tl: 0.000 0.500 0.375

* energy of formation from the pure elements: -0.041 eV per atom
* total moment: 0.00 μB per cell
* space-group type: P4/mmm, No. 123
* calculated density: 9.44 g cm⁻³
* crystal system: tetragonal

---

No. 4
A geometry-optimized KRh2Pb structure. Source: Alexandria via LeMat-Bulk, functional PBE.

Lattice parameters (Å, degrees): 3.071 5.736 5.782 52.66 90.00 90.00
Atoms (fractional coordinates):
K: 0.500 0.500 0.500
Rh: 0.000 0.000 0.000
Rh: 0.500 0.500 0.000
Pb: 0.000 0.000 0.500

* energy of formation from the pure elements: 0.571 eV per atom
* total moment: 0.00 μB per cell
* space-group type: P2/m, No. 10
* calculated density: 9.27 g cm⁻³
* crystal system: monoclinic